Crystalline PuB6 at its relaxed geometry, computed with PBE.

Computed properties:
- space group = Im-3m

Cell: 4.303 4.303 4.303 Å, 109.47 109.47 109.47°
Sites, in units of the cell vectors:
Pu (0.000, 0.000, 0.000)
B (0.250, 0.500, 0.750)
B (0.250, 0.750, 0.500)
B (0.500, 0.250, 0.750)
B (0.500, 0.750, 0.250)
B (0.750, 0.250, 0.500)
B (0.750, 0.500, 0.250)



Crystalline Pu4B at its relaxed geometry, computed with PBE.

Computed properties:
- space group = Pm-3m

Cell: 4.928 4.928 4.928 Å, 90.00 90.00 90.00°
Sites, in units of the cell vectors:
Pu (0.000, 0.000, 0.000)
Pu (0.000, 0.500, 0.500)
Pu (0.500, 0.000, 0.500)
Pu (0.500, 0.500, 0.000)
B (0.500, 0.500, 0.500)



Crystalline PuB6 at its relaxed geometry, computed with PBE.

Computed properties:
- space group = Pm-3m

Cell: 4.111 4.111 4.111 Å, 90.00 90.00 90.00°
Sites, in units of the cell vectors:
Pu (0.000, 0.000, 0.000)
B (0.199, 0.500, 0.500)
B (0.500, 0.199, 0.500)
B (0.500, 0.500, 0.199)
B (0.500, 0.500, 0.801)
B (0.500, 0.801, 0.500)
B (0.801, 0.500, 0.500)



The records above give, respectively, density of states at the Fermi level values of 3.163 26.827 9.386 states/eV/f.u..
The records above give, respectively, formation energy values of -0.14 0.48 -0.37 eV/atom.
The records above give, respectively, total moment values of 3.91 10.51 5.43 μB per cell.